A plane-wave DFT calculation with PBE was carried out for crystalline Nd12Co5Sb at its relaxed geometry.

POSCAR file:
```
Nd12Co5Sb
1.0
8.0385 0.0494 -3.0535
-4.1673 7.0715 -2.5634
0.0077 -0.0494 8.5989
Co Nd Sb
5 12 1
Direct
0.3812 0.3812 0.0000
0.0000 0.0000 0.0000
0.5000 0.8890 0.3890
0.6188 0.6188 0.0000
0.5000 0.1110 0.6110
0.4848 0.1862 0.2986
0.6922 0.3138 0.0060
0.1906 0.3889 0.1983
0.1906 0.9924 0.8017
0.8094 0.0076 0.1983
0.3078 0.3138 0.6216
0.5152 0.8138 0.7014
0.8094 0.6111 0.8017
0.8876 0.1862 0.7014
0.1124 0.8138 0.2986
0.3078 0.6862 0.9940
0.6922 0.6862 0.3784
0.0000 0.5000 0.5000
```

Results
E_tot = -5.574 eV per atom
ΔE_f (raw) = -0.19 eV/atom
Total magnetization = 0.00 μB/cell
N(E_F) = 13.31 states/eV/cell

=====

A plane-wave DFT calculation with PBE was carried out for crystalline Pr4Zn3Ni at its relaxed geometry.

POSCAR file:
```
Pr4Zn3Ni
1.0
3.8311 0.0000 0.0000
0.0000 4.5832 0.0000
0.0000 0.0000 11.5261
Ni Zn Pr
1 3 4
Direct
0.5000 0.5000 0.0598
0.0000 0.0000 0.4312
0.5000 0.0000 0.9371
0.0000 0.5000 0.5646
0.0000 0.5000 0.8706
0.5000 0.5000 0.3410
0.5000 0.0000 0.6533
0.0000 0.0000 0.1423
```

Results
E_tot = -3.846 eV per atom
Formation energy from the elements = -0.256 eV per atom
Total magnetization = 0.00 μB/cell
N(E_F) = 8.52 states/eV/cell

=====

A plane-wave DFT calculation with PBE was carried out for crystalline NaGeI2O at its relaxed geometry.

POSCAR file:
```
NaGeI2O
1.0
5.7983 0.0000 0.0000
0.0000 5.7983 0.0000
0.0000 0.0000 4.2334
Na I O Ge
1 2 1 1
Direct
0.0000 0.0000 0.0000
0.0000 0.5000 0.0000
0.5000 0.0000 0.0000
0.0000 0.0000 0.5000
0.5000 0.5000 0.5000
```

Results
E_tot = -2.654 eV per atom
ΔE_f (raw) = 0.15 eV/atom
Total magnetization = 1.25 μB/cell
N(E_F) = 4.18 states/eV/cell

=====

A plane-wave DFT calculation with PBE was carried out for crystalline La4SmTm15 at its relaxed geometry.

POSCAR file:
```
La4SmTm15
1.0
-1.4449 -2.0604 -4.3637
4.8232 -0.7630 -1.2368
-0.7689 -22.4726 10.8655
Tm La Sm
15 4 1
Direct
0.5000 0.5000 0.3998
0.5000 0.5000 0.8012
0.5000 0.5000 0.6002
0.0000 0.5000 0.7006
0.5000 0.0000 0.5000
0.5000 0.0000 0.0981
0.5000 0.5000 0.1988
0.5000 0.0000 0.2994
0.5000 0.0000 0.9019
0.5000 0.5000 0.0000
0.0000 0.5000 0.0981
0.0000 0.5000 0.2994
0.0000 0.5000 0.9019
0.5000 0.0000 0.7006
0.0000 0.5000 0.5000
0.0000 0.0000 0.2000
0.0000 0.0000 0.6003
0.0000 0.0000 0.8000
0.0000 0.0000 0.3997
0.0000 0.0000 0.0000
```

Results
E_tot = -4.537 eV per atom
Formation energy from the elements = 0.038 eV per atom
Total magnetization = 0.00 μB/cell
N(E_F) = 32.54 states/eV/cell

=====

A plane-wave DFT calculation with PBE was carried out for crystalline MgAg3Sn at its relaxed geometry.

POSCAR file:
```
MgAg3Sn
1.0
7.4893 0.0000 0.0000
0.0000 9.2530 1.3705
0.0000 -3.1739 5.5414
Ag Mg Sn
12 4 4
Direct
0.5013 0.2312 0.2748
0.0013 0.2688 0.2252
0.4987 0.7688 0.7252
0.5104 0.9216 0.2657
0.7047 0.3376 0.9875
0.7953 0.8376 0.4875
0.9896 0.4216 0.7657
0.2047 0.1624 0.5125
0.4896 0.0785 0.7343
0.2953 0.6624 0.0125
0.0104 0.5784 0.2343
0.9987 0.7312 0.7748
0.3077 0.3538 0.9719
0.6923 0.6462 0.0281
0.1923 0.8538 0.4719
0.8077 0.1462 0.5281
0.7211 0.5033 0.4866
0.2789 0.4967 0.5134
0.2211 0.9967 0.0134
0.7789 0.0033 0.9866
```

Results
E_tot = -2.859 eV per atom
Formation energy from the elements = -0.029 eV per atom
Total magnetization = 0.00 μB/cell
N(E_F) = 7.21 states/eV/cell

=====

A plane-wave DFT calculation with PBE was carried out for crystalline YAl4 at its relaxed geometry.

POSCAR file:
```
YAl4
1.0
-0.9338 3.8308 2.0311
-4.2028 1.3334 -4.4470
-2.3165 -5.7215 4.8833
Al Y
8 2
Direct
0.5000 0.0000 0.0000
0.8878 0.6378 0.7756
0.1122 0.3622 0.2244
0.6979 0.2325 0.3958
0.3021 0.7675 0.6042
0.6979 0.6633 0.3958
0.3021 0.3367 0.6042
0.5000 0.5000 0.0000
0.8880 0.1380 0.7761
0.1120 0.8620 0.2239
```

Results
E_tot = -4.625 eV per atom
Formation energy from the elements = -0.338 eV per atom
Total magnetization = 0.00 μB/cell
N(E_F) = 3.49 states/eV/cell

=====

A plane-wave DFT calculation with PBE was carried out for crystalline Ce3YNi8 at its relaxed geometry.

POSCAR file:
```
Ce3YNi8
1.0
-2.5704 3.6928 -2.3062
1.5459 -4.0296 -2.6333
-7.2351 -3.9315 1.7686
Ce Ni Y
3 8 1
Direct
0.6667 0.3333 0.4330
0.0000 0.0000 0.9441
0.6667 0.3333 0.0494
0.4962 0.9925 0.7491
0.1695 0.8305 0.2523
0.1695 0.3389 0.2523
0.6611 0.8305 0.2523
0.4962 0.5038 0.7491
0.3333 0.6667 0.0044
0.3333 0.6667 0.5003
0.0075 0.5038 0.7491
0.0000 0.0000 0.5646
```

Results
E_tot = -6.243 eV per atom
Formation energy from the elements = -0.366 eV per atom
Total magnetization = 0.00 μB/cell
N(E_F) = 17.68 states/eV/cell

=====

A plane-wave DFT calculation with PBE was carried out for crystalline AcAl3Ru at its relaxed geometry.

POSCAR file:
```
AcAl3Ru
1.0
6.6289 0.0000 0.0000
-3.3144 5.7408 0.0000
0.0000 0.0000 11.3188
Ac Al Ru
4 12 4
Direct
0.6667 0.3333 0.7500
0.3333 0.6667 0.2500
0.0000 0.0000 0.0000
0.0000 0.0000 0.5000
0.5000 0.5000 0.5000
0.2966 0.1483 0.2500
0.5000 0.0000 0.0000
0.5000 0.0000 0.5000
0.7034 0.8517 0.7500
0.8517 0.1483 0.2500
0.0000 0.5000 0.5000
0.1483 0.8517 0.7500
0.1483 0.2966 0.7500
0.8517 0.7034 0.2500
0.0000 0.5000 0.0000
0.5000 0.5000 0.0000
0.3333 0.6667 0.6226
0.6667 0.3333 0.1226
0.6667 0.3333 0.3774
0.3333 0.6667 0.8774
```

Results
E_tot = -5.399 eV per atom
Formation energy from the elements = -0.477 eV per atom
Total magnetization = 0.00 μB/cell
N(E_F) = 6.46 states/eV/cell

=====

A plane-wave DFT calculation with PBE was carried out for crystalline HoEr2Hg6 at its relaxed geometry.

POSCAR file:
```
HoEr2Hg6
1.0
-0.5679 3.7977 -3.8066
-0.4762 -5.6152 -7.2921
-9.1065 -0.7802 -1.1808
Er Hg Ho
4 12 2
Direct
0.0836 0.2081 0.4585
0.4164 0.5415 0.7919
0.5836 0.4585 0.2081
0.9164 0.7919 0.5415
0.0290 0.5697 0.3198
0.1956 0.9861 0.2372
0.3044 0.7628 0.0139
0.3620 0.9029 0.6521
0.6380 0.0971 0.3479
0.6956 0.2372 0.9861
0.4710 0.6802 0.4303
0.5290 0.3198 0.5697
0.1380 0.3479 0.0971
0.8620 0.6521 0.9029
0.8044 0.0139 0.7628
0.9710 0.4303 0.6802
0.2500 0.1255 0.8745
0.7500 0.8745 0.1255
```

Results
E_tot = -2.108 eV per atom
Formation energy from the elements = -0.384 eV per atom
Total magnetization = 0.00 μB/cell
N(E_F) = 7.76 states/eV/cell

=====

A plane-wave DFT calculation with PBE was carried out for crystalline K3Bi3Pb2 at its relaxed geometry.

POSCAR file:
```
K3Bi3Pb2
1.0
-0.7260 -5.5141 0.9177
0.9055 1.5964 -7.0036
16.7080 -1.9129 1.7242
Pb Bi K
4 6 6
Direct
0.2244 0.4488 0.0889
0.2244 0.4488 0.4111
0.7756 0.5512 0.9111
0.7756 0.5512 0.5889
0.3503 0.7006 0.2500
0.3955 0.7910 0.5431
0.6045 0.2090 0.4569
0.3955 0.7910 0.9569
0.6045 0.2090 0.0431
0.6497 0.2994 0.7500
0.0731 0.1462 0.6170
0.9269 0.8538 0.3830
0.6548 0.3097 0.2500
0.3452 0.6903 0.7500
0.0731 0.1462 0.8830
0.9269 0.8538 0.1170
```

Results
E_tot = -3.081 eV per atom
Formation energy from the elements = -0.287 eV per atom
Total magnetization = 0.00 μB/cell
N(E_F) = 2.16 states/eV/cell

=====

A plane-wave DFT calculation with PBE was carried out for crystalline Ta3TlPd4S12 at its relaxed geometry.

POSCAR file:
```
Ta3TlPd4S12
1.0
8.5527 -0.5966 -0.8288
-2.6397 8.1570 -0.8288
-2.6397 -3.3752 7.4721
S Ta Tl Pd
12 3 1 4
Direct
0.2158 0.3230 0.8465
0.7842 0.1535 0.6770
0.3353 0.6647 0.5000
0.1055 0.8945 0.5000
0.8945 0.5000 0.1055
0.6647 0.5000 0.3353
0.5000 0.3353 0.6647
0.5000 0.1055 0.8945
0.6770 0.7842 0.1535
0.1535 0.6770 0.7842
0.3230 0.8465 0.2158
0.8465 0.2158 0.3230
0.5574 0.4426 0.0000
0.0000 0.5574 0.4426
0.4426 0.0000 0.5574
0.0000 0.0000 0.0000
0.0541 0.5000 0.9459
0.5000 0.5000 0.5000
0.9459 0.0541 0.5000
0.5000 0.9459 0.0541
```

Results
E_tot = -5.806 eV per atom
ΔE_f (raw) = -0.39 eV/atom
Total magnetization = 0.00 μB/cell
N(E_F) = 11.56 states/eV/cell

=====

A plane-wave DFT calculation with PBE was carried out for crystalline Zr2W at its relaxed geometry.

POSCAR file:
```
Zr2W
1.0
-1.7030 1.7030 5.2769
1.7030 -1.7030 5.2769
1.7030 1.7030 -5.2769
Zr W
2 1
Direct
0.6506 0.6506 0.0000
0.3494 0.3494 0.0000
0.0000 0.0000 0.0000
```

Results
E_tot = -9.876 eV per atom
Formation energy from the elements = 0.141 eV per atom
Total magnetization = 0.00 μB/cell
N(E_F) = 5.20 states/eV/cell

=====

A plane-wave DFT calculation with PBE was carried out for crystalline AlCr2Os at its relaxed geometry.

POSCAR file:
```
AlCr2Os
1.0
-0.6874 -2.6539 -4.0867
4.5806 0.7228 1.3305
0.5912 -2.4700 0.7196
Cr Al Os
2 1 1
Direct
0.5000 0.0000 0.5000
0.0000 0.0000 0.0000
0.5000 0.5000 0.0000
0.0000 0.5000 0.5000
```

Results
E_tot = -8.539 eV per atom
Formation energy from the elements = 0.015 eV per atom
Total magnetization = 0.00 μB/cell
N(E_F) = 4.31 states/eV/cell

=====

A plane-wave DFT calculation with PBE was carried out for crystalline Pr5ReN6 at its relaxed geometry.

POSCAR file:
```
Pr5ReN6
1.0
-6.0548 0.7125 -0.8610
-2.3085 -4.9847 -2.8142
-2.0900 -4.7290 3.3223
N Pr Re
6 5 1
Direct
0.7799 0.0733 0.2955
0.2201 0.9267 0.7045
0.2201 0.6312 0.2955
0.7560 0.7677 0.0000
0.7799 0.3688 0.7045
0.2440 0.2323 0.0000
0.5000 0.1640 0.6720
0.5000 0.8360 0.3280
0.0000 0.3337 0.3325
0.5000 0.5000 0.0000
0.0000 0.6663 0.6675
0.0000 0.0000 0.0000
```

Results
E_tot = -8.089 eV per atom
ΔE_f (raw) = -0.90 eV/atom
Total magnetization = 0.00 μB/cell
N(E_F) = 5.56 states/eV/cell

=====

A plane-wave DFT calculation with PBE was carried out for crystalline SrPr2S4 at its relaxed geometry.

POSCAR file:
```
SrPr2S4
1.0
4.1126 0.0000 0.0000
-2.0563 6.8132 0.0000
0.0000 0.0000 13.8106
Sr S Pr
2 8 4
Direct
0.3865 0.7729 0.2500
0.6135 0.2271 0.7500
0.7705 0.5409 0.3826
0.9612 0.9224 0.7500
0.7705 0.5409 0.1174
0.2295 0.4591 0.6174
0.0388 0.0776 0.2500
0.2295 0.4591 0.8826
0.5000 0.0000 0.5000
0.5000 0.0000 0.0000
0.8665 0.7331 0.5716
0.1335 0.2669 0.4284
0.1335 0.2669 0.0716
0.8665 0.7331 0.9284
```

Results
E_tot = -6.017 eV per atom
ΔE_f (raw) = -2.05 eV/atom
Total magnetization = 0.00 μB/cell

=====

A plane-wave DFT calculation with PBE was carried out for crystalline Ac4CoAg at its relaxed geometry.

POSCAR file:
```
Ac4CoAg
1.0
5.7739 0.0000 -0.1903
0.0000 8.3559 0.0000
0.2894 0.0000 8.6904
Ac Ag Co
8 2 2
Direct
0.2500 0.7500 0.0574
0.2502 0.4610 0.6699
0.2502 0.0390 0.6699
0.7500 0.2500 0.9426
0.7498 0.5390 0.3301
0.7502 0.7500 0.7504
0.7498 0.9610 0.3301
0.2498 0.2500 0.2496
0.7506 0.2500 0.5690
0.2494 0.7500 0.4310
0.2500 0.2500 0.9329
0.7500 0.7500 0.0671
```

Results
E_tot = -4.364 eV per atom
Formation energy from the elements = 0.035 eV per atom
Total magnetization = 0.00 μB/cell
N(E_F) = 9.32 states/eV/cell

=====

A plane-wave DFT calculation with PBE was carried out for crystalline TcRhO2 at its relaxed geometry.

POSCAR file:
```
TcRhO2
1.0
4.7930 0.0000 0.0000
0.0000 4.7930 0.0000
2.3965 2.3965 4.5705
Rh O Tc
2 4 2
Direct
0.0000 0.0000 0.0000
0.7500 0.2500 0.5000
0.1593 0.6250 0.2500
0.5907 0.1250 0.2500
0.8750 0.8407 0.7500
0.3750 0.4093 0.7500
0.2500 0.7500 0.5000
0.5000 0.5000 0.0000
```

Results
E_tot = -7.158 eV per atom
ΔE_f (raw) = -0.25 eV/atom
Total magnetization = 0.00 μB/cell
N(E_F) = 3.30 states/eV/cell

=====

A plane-wave DFT calculation with PBE was carried out for crystalline MoIBr3 at its relaxed geometry.

POSCAR file:
```
MoIBr3
1.0
5.1435 0.0000 0.0000
0.0000 5.1435 0.0000
0.0000 0.0000 5.1435
Mo I Br
1 1 3
Direct
0.0000 0.0000 0.0000
0.5000 0.5000 0.5000
0.0000 0.5000 0.0000
0.0000 0.0000 0.5000
0.5000 0.0000 0.0000
```

Results
E_tot = -3.355 eV per atom
ΔE_f (raw) = 0.13 eV/atom
Total magnetization = 0.00 μB/cell
N(E_F) = 7.38 states/eV/cell

=====

A plane-wave DFT calculation with PBE was carried out for crystalline Cr2PdPbW at its relaxed geometry.

POSCAR file:
```
Cr2PdPbW
1.0
4.5423 0.0000 0.0000
0.0000 4.9206 0.0000
0.0000 0.0000 4.5423
Cr Pd Pb W
2 1 1 1
Direct
0.0000 0.0000 0.5000
0.5000 0.0000 0.0000
0.0000 0.0000 0.0000
0.0000 0.5000 0.0000
0.5000 0.5000 0.5000
```

Results
E_tot = -6.078 eV per atom
Formation energy from the elements = 2.142 eV per atom
Total magnetization = 1.70 μB/cell
N(E_F) = 9.10 states/eV/cell

=====

A plane-wave DFT calculation with PBE was carried out for crystalline Ce4InPb5 at its relaxed geometry.

POSCAR file:
```
Ce4InPb5
1.0
-3.7649 3.7134 2.6113
1.3622 -2.7600 5.8888
7.3054 3.5830 -1.2227
Ce In Pb
4 1 5
Direct
0.3099 0.6824 0.6197
0.6901 0.3176 0.3803
0.0914 0.8338 0.1828
0.9086 0.1662 0.8172
0.5000 0.0000 0.0000
0.8878 0.6459 0.7757
0.7004 0.8203 0.4008
0.2996 0.1797 0.5992
0.1122 0.3541 0.2243
0.5000 0.5000 0.0000
```

Results
E_tot = -4.834 eV per atom
Formation energy from the elements = -0.333 eV per atom
Total magnetization = 3.88 μB/cell
N(E_F) = 26.36 states/eV/cell